1.
Below is Pu3CoPt2 after structural relaxation, with properties calculated at the PBE level.

Cell and atoms, written as extended XYZ:
```
24
Lattice="-1.413 -3.917 1.294 8.588 -4.197 -3.329 4.837 1.678 10.364" Properties=species:S:1:pos:R:3 pbc="T T T"
Pu 3.280 -2.557 -0.484
Pu 8.732 -3.880 8.813
Pu 8.812 -5.940 2.663
Pu 3.201 -0.497 5.666
Pu 6.838 -3.548 0.400
Pu 5.175 -2.889 7.929
Pu 1.992 -3.354 3.043
Pu 10.020 -3.082 5.286
Pu 5.303 -2.182 2.860
Pu 6.710 -4.255 5.469
Pu 7.571 -6.697 -0.984
Pu 4.442 0.260 9.313
Co 1.342 -1.368 0.999
Co 10.671 -5.069 7.330
Co 6.295 -4.951 2.907
Co 5.718 -1.485 5.422
Pt 8.177 -3.135 3.113
Pt 3.835 -3.302 5.216
Pt 0.776 -3.828 0.282
Pt 11.236 -2.609 8.047
Pt 9.668 -4.670 0.095
Pt 2.344 -1.767 8.234
Pt 4.196 -4.693 1.397
Pt 7.816 -1.744 6.932
```

The calculation puts the volume at 21.260 Å³ per atom. For the formation energy, the calculation gives -448 meV per atom. The calculation puts the uncorrected energy at -259.49 eV for the cell shown. The density comes out at 15.4 g cm⁻³.

2.
Below is Pu2CoSi6Pt after structural relaxation, with properties calculated at the PBE level.

Cell and atoms, written as extended XYZ:
```
20
Lattice="5.810 0.000 0.000 2.905 5.032 0.000 2.905 1.677 12.142" Properties=species:S:1:pos:R:3 pbc="T T T"
Pu 8.715 5.032 4.530
Pu 2.905 1.677 7.612
Pu 8.715 5.032 10.132
Pu 2.905 1.677 2.009
Co 0.000 0.000 0.000
Co 5.810 3.354 6.071
Si 7.528 2.363 4.837
Si 5.810 5.338 4.837
Si 4.092 2.363 4.837
Si 4.092 4.346 7.305
Si 5.810 1.371 7.305
Si 7.528 4.346 7.305
Si 7.516 2.369 10.318
Si 5.810 5.325 10.318
Si 4.104 2.369 10.318
Si 4.104 4.340 1.824
Si 5.810 1.384 1.824
Si 7.516 4.340 1.824
Pt 5.810 3.354 3.241
Pt 5.810 3.354 8.901
```

The calculation puts the energy relative to the elements, uncorrected at -361 meV/atom. The calculation puts the volume at 17.748 Å³ per atom. The calculation puts the uncorrected energy at -155.92 eV for the cell shown. The density comes out at 8.5 g cm⁻³.

3.
Below is SmPuCoPt after structural relaxation, with properties calculated at the PBE level.

Cell and atoms, written as extended XYZ:
```
4
Lattice="-3.524 -0.093 3.415 -3.440 -3.499 -0.118 -0.024 -3.534 3.405" Properties=species:S:1:pos:R:3 pbc="T T T"
Co -1.747 -1.782 1.676
Sm -3.494 -3.563 3.351
Pt -5.241 -5.345 5.027
Pu 0.000 0.000 0.000
```

The calculation puts the volume at 20.901 Å³ per atom. For the formation energy, the calculation gives -387 meV per atom. The calculation puts the uncorrected energy at -33.74 eV for the cell shown. The density comes out at 12.9 g cm⁻³.

Question: The lowest uncorrected energy belongs to which entry?
Answer: Pu3CoPt2